1.
PBE AcMgNi, optimized geometry; magnetization = 0.0 μB/f.u.; symmetry = No. 107
1.0
3.5083 0.0000 0.0000
0.0000 3.5083 0.0000
0.0000 0.0000 11.8964
Ac Mg Ni
2 2 2
direct
0.0000 0.0000 0.0000 Ac
0.5000 0.5000 0.5000 Ac
0.0000 0.0000 0.2698 Mg
0.5000 0.5000 0.7698 Mg
0.0000 0.0000 0.6550 Ni
0.5000 0.5000 0.1550 Ni

2.
PBE AcMgNi, optimized geometry; magnetization = 0.0 μB/f.u.; symmetry = No. 12
1.0
12.9680 0.0000 0.0000
0.0000 4.2794 0.0000
-1.0702 0.0000 5.5320
Ac Mg Ni
4 4 4
direct
0.1327 0.0000 0.3048 Ac
0.3673 0.5000 0.6952 Ac
0.6327 0.5000 0.3048 Ac
0.8673 0.0000 0.6952 Ac
0.0986 0.5000 0.7956 Mg
0.4014 0.0000 0.2044 Mg
0.5986 0.0000 0.7956 Mg
0.9014 0.5000 0.2044 Mg
0.2270 0.0000 0.8651 Ni
0.2730 0.5000 0.1349 Ni
0.7270 0.5000 0.8651 Ni
0.7730 0.0000 0.1349 Ni

From most stable to least stable, the computed energies give 2, 1.

1.
PBE Ac4MgNi, optimized geometry; magnetization = 0.0 μB/f.u.; symmetry = No. 216
1.0
0.0000 7.4719 7.4719
7.4719 0.0000 7.4719
7.4719 7.4719 0.0000
Ac Mg Ni
16 4 4
direct
0.1869 0.1869 0.8131 Ac
0.1869 0.8131 0.1869 Ac
0.1869 0.8131 0.8131 Ac
0.4051 0.4051 0.4051 Ac
0.4051 0.4051 0.7848 Ac
0.4051 0.7848 0.4051 Ac
0.5596 0.5596 0.9404 Ac
0.5596 0.9404 0.5596 Ac
0.5596 0.9404 0.9404 Ac
0.7848 0.4051 0.4051 Ac
0.8131 0.1869 0.1869 Ac
0.8131 0.1869 0.8131 Ac
0.8131 0.8131 0.1869 Ac
0.9404 0.5596 0.5596 Ac
0.9404 0.5596 0.9404 Ac
0.9404 0.9404 0.5596 Ac
0.1729 0.1729 0.1729 Mg
0.1729 0.1729 0.4813 Mg
0.1729 0.4813 0.1729 Mg
0.4813 0.1729 0.1729 Mg
0.1783 0.6072 0.6072 Ni
0.6072 0.1783 0.6072 Ni
0.6072 0.6072 0.1783 Ni
0.6072 0.6072 0.6072 Ni

2.
PBE Ac4MgNi, optimized geometry; magnetization = 0.0 μB/f.u.; symmetry = No. 123
1.0
5.2963 0.0000 0.0000
0.0000 5.2963 0.0000
0.0000 0.0000 8.2380
Ac Mg Ni
4 1 1
direct
0.0000 0.5000 0.2164 Ac
0.0000 0.5000 0.7836 Ac
0.5000 0.0000 0.2164 Ac
0.5000 0.0000 0.7836 Ac
0.0000 0.0000 0.5000 Mg
0.5000 0.5000 0.0000 Ni

From most stable to least stable, the computed energies give 1, 2.

1.
PBE Ac4MgNi2, optimized geometry; magnetization = 0.0 μB/f.u.; symmetry = No. 63
1.0
2.8970 -6.1587 0.0000
2.8970 6.1587 0.0000
0.0000 0.0000 13.6106
Ac Mg Ni
8 2 4
direct
0.0000 0.0000 0.0000 Ac
0.0000 0.0000 0.5000 Ac
0.3019 0.6981 0.5953 Ac
0.3019 0.6981 0.9047 Ac
0.3836 0.6164 0.2500 Ac
0.6164 0.3836 0.7500 Ac
0.6981 0.3019 0.0953 Ac
0.6981 0.3019 0.4047 Ac
0.0744 0.9256 0.2500 Mg
0.9256 0.0744 0.7500 Mg
0.2067 0.7933 0.1023 Ni
0.2067 0.7933 0.3977 Ni
0.7933 0.2067 0.6023 Ni
0.7933 0.2067 0.8977 Ni

2.
PBE Ac4MgNi2, optimized geometry; magnetization = 0.0 μB/f.u.; symmetry = No. 1
1.0
7.3199 0.0000 0.0000
-1.6860 7.1971 0.0000
-2.8166 -3.5976 8.3022
Ac Mg Ni
8 2 4
direct
0.0000 0.0000 0.0000 Ac
0.0066 0.2206 0.5317 Ac
0.2834 0.6279 0.3873 Ac
0.4150 0.0738 0.8132 Ac
0.4394 0.1535 0.3973 Ac
0.5663 0.7254 0.1161 Ac
0.8607 0.7052 0.5421 Ac
0.9648 0.4646 0.9291 Ac
0.5125 0.5853 0.7321 Mg
0.7452 0.3186 0.1971 Mg
0.0199 0.8321 0.2725 Ni
0.1968 0.6764 0.7895 Ni
0.3714 0.3514 0.1393 Ni
0.7119 0.0246 0.6562 Ni

From most stable to least stable, the computed energies give 2, 1.

1.
PBE Ac2MgOs, optimized geometry; magnetization = 0.0 μB/f.u.; symmetry = No. 166
1.0
3.5189 0.0000 0.0000
-1.7595 3.0475 0.0000
0.0000 0.0000 34.7904
Ac Mg Os
6 3 3
direct
0.0000 0.0000 0.0775 Ac
0.0000 0.0000 0.9225 Ac
0.3333 0.6667 0.5892 Ac
0.3333 0.6667 0.7442 Ac
0.6667 0.3333 0.2558 Ac
0.6667 0.3333 0.4108 Ac
0.0000 0.0000 0.5000 Mg
0.3333 0.6667 0.1667 Mg
0.6667 0.3333 0.8333 Mg
0.0000 0.0000 0.0000 Os
0.3333 0.6667 0.6667 Os
0.6667 0.3333 0.3333 Os

2.
PBE Ac2MgOs, optimized geometry; magnetization = 0.0 μB/f.u.; symmetry = No. 123
1.0
3.6755 0.0000 0.0000
0.0000 3.6755 0.0000
0.0000 0.0000 9.1548
Ac Mg Os
2 1 1
direct
0.0000 0.0000 0.1977 Ac
0.0000 0.0000 0.8023 Ac
0.5000 0.5000 0.5000 Mg
0.5000 0.5000 0.0000 Os

From most stable to least stable, the computed energies give 2, 1.

1.
PBE Ac3MgOs, optimized geometry; magnetization = 0.0 μB/f.u.; symmetry = No. 2
1.0
6.3601 0.0000 0.0000
-0.0213 7.9095 0.0000
-2.8868 -3.9119 7.1485
Ac Mg Os
6 2 2
direct
0.1381 0.3141 0.1251 Ac
0.3056 0.3560 0.7251 Ac
0.3065 0.8736 0.7284 Ac
0.6935 0.1264 0.2716 Ac
0.6944 0.6440 0.2749 Ac
0.8619 0.6859 0.8749 Ac
0.2405 0.9073 0.3165 Mg
0.7595 0.0927 0.6835 Mg
0.3676 0.7553 0.0145 Os
0.6324 0.2447 0.9855 Os

2.
PBE Ac3MgOs, optimized geometry; magnetization = 0.0 μB/f.u.; symmetry = No. 221
1.0
5.8345 0.0000 0.0000
0.0000 5.8345 0.0000
0.0000 0.0000 5.8345
Ac Mg Os
3 1 1
direct
0.0000 0.0000 0.5000 Ac
0.0000 0.5000 0.0000 Ac
0.5000 0.0000 0.0000 Ac
0.5000 0.5000 0.5000 Mg
0.0000 0.0000 0.0000 Os

From most stable to least stable, the computed energies give 1, 2.

1.
PBE AcMgP2, optimized geometry; magnetization = 0.0 μB/f.u.; symmetry = No. 123
1.0
4.9222 0.0000 0.0000
0.0000 4.9222 0.0000
0.0000 0.0000 3.8356
Ac Mg P
1 1 2
direct
0.0000 0.0000 0.0000 Ac
0.5000 0.5000 0.0000 Mg
0.0000 0.5000 0.5000 P
0.5000 0.0000 0.5000 P

2.
PBE AcMgP2, optimized geometry; magnetization = 0.0 μB/f.u.; symmetry = No. 166
1.0
4.3390 0.0000 0.0000
-2.1695 3.7577 0.0000
0.0000 0.0000 17.9171
Ac Mg P
3 3 6
direct
0.0000 0.0000 0.0000 Ac
0.3333 0.6667 0.6667 Ac
0.6667 0.3333 0.3333 Ac
0.0000 0.0000 0.5000 Mg
0.3333 0.6667 0.1667 Mg
0.6667 0.3333 0.8333 Mg
0.0000 0.0000 0.2353 P
0.0000 0.0000 0.7647 P
0.3333 0.6667 0.4314 P
0.3333 0.6667 0.9019 P
0.6667 0.3333 0.0981 P
0.6667 0.3333 0.5686 P

3.
PBE AcMgP2, optimized geometry; magnetization = 0.0 μB/f.u.; symmetry = No. 123
1.0
3.6764 0.0000 0.0000
0.0000 3.6764 0.0000
0.0000 0.0000 6.3827
Ac Mg P
1 1 2
direct
0.0000 0.0000 0.0000 Ac
0.0000 0.0000 0.5000 Mg
0.5000 0.5000 0.3078 P
0.5000 0.5000 0.6922 P

4.
PBE AcMgP2, optimized geometry; magnetization = 0.0 μB/f.u.; symmetry = No. 225
1.0
7.1208 0.0000 0.0000
0.0000 7.1208 0.0000
0.0000 0.0000 7.1208
Ac Mg P
4 4 8
direct
0.0000 0.0000 0.0000 Ac
0.0000 0.5000 0.5000 Ac
0.5000 0.0000 0.5000 Ac
0.5000 0.5000 0.0000 Ac
0.0000 0.0000 0.5000 Mg
0.0000 0.5000 0.0000 Mg
0.5000 0.0000 0.0000 Mg
0.5000 0.5000 0.5000 Mg
0.2500 0.2500 0.2500 P
0.2500 0.2500 0.7500 P
0.2500 0.7500 0.2500 P
0.2500 0.7500 0.7500 P
0.7500 0.2500 0.2500 P
0.7500 0.2500 0.7500 P
0.7500 0.7500 0.2500 P
0.7500 0.7500 0.7500 P

From most stable to least stable, the computed energies give 2, 4, 1, 3.

1.
PBE Ac2Mg5Pb3, optimized geometry; magnetization = 0.0 μB/f.u.; symmetry = No. 72
1.0
-6.0699 7.1103 3.3881
6.0699 -7.1103 3.3881
6.0699 7.1103 -3.3881
Ac Mg Pb
4 10 6
direct
0.1252 0.2336 0.3589 Ac
0.3748 0.7336 0.1084 Ac
0.6252 0.2664 0.8916 Ac
0.8748 0.7664 0.6411 Ac
0.0300 0.7500 0.2800 Mg
0.1427 0.8881 0.0308 Mg
0.2500 0.7500 0.5000 Mg
0.3573 0.3881 0.7455 Mg
0.4700 0.7500 0.7200 Mg
0.5300 0.2500 0.2800 Mg
0.6427 0.6119 0.2545 Mg
0.7500 0.2500 0.5000 Mg
0.8573 0.1119 0.9692 Mg
0.9700 0.2500 0.7200 Mg
0.1121 0.6566 0.7688 Pb
0.2500 0.2500 0.0000 Pb
0.3879 0.1567 0.5445 Pb
0.6121 0.8434 0.4555 Pb
0.7500 0.7500 0.0000 Pb
0.8879 0.3434 0.2312 Pb

2.
PBE Ac2Mg5Pb3, optimized geometry; magnetization = 0.0 μB/f.u.; symmetry = No. 115
1.0
4.7414 0.0000 0.0000
0.0000 4.7414 0.0000
0.0000 0.0000 13.6152
Ac Mg Pb
2 5 3
direct
0.0000 0.5000 0.2423 Ac
0.5000 0.0000 0.7577 Ac
0.0000 0.0000 0.0000 Mg
0.0000 0.0000 0.5000 Mg
0.0000 0.5000 0.8699 Mg
0.5000 0.0000 0.1301 Mg
0.5000 0.5000 0.0000 Mg
0.0000 0.5000 0.6605 Pb
0.5000 0.0000 0.3395 Pb
0.5000 0.5000 0.5000 Pb

From most stable to least stable, the computed energies give 1, 2.

1.
PBE AcMg2Pb, optimized geometry; magnetization = 0.0 μB/f.u.; symmetry = No. 123
1.0
3.8120 0.0000 0.0000
0.0000 3.8120 0.0000
0.0000 0.0000 8.3167
Ac Mg Pb
1 2 1
direct
0.0000 0.0000 0.0000 Ac
0.5000 0.5000 0.2878 Mg
0.5000 0.5000 0.7122 Mg
0.0000 0.0000 0.5000 Pb

2.
PBE AcMg2Pb, optimized geometry; magnetization = 0.0 μB/f.u.; symmetry = No. 225
1.0
7.7943 0.0000 0.0000
0.0000 7.7943 0.0000
0.0000 0.0000 7.7943
Ac Mg Pb
4 8 4
direct
0.0000 0.0000 0.0000 Ac
0.0000 0.5000 0.5000 Ac
0.5000 0.0000 0.5000 Ac
0.5000 0.5000 0.0000 Ac
0.2500 0.2500 0.2500 Mg
0.2500 0.2500 0.7500 Mg
0.2500 0.7500 0.2500 Mg
0.2500 0.7500 0.7500 Mg
0.7500 0.2500 0.2500 Mg
0.7500 0.2500 0.7500 Mg
0.7500 0.7500 0.2500 Mg
0.7500 0.7500 0.7500 Mg
0.0000 0.0000 0.5000 Pb
0.0000 0.5000 0.0000 Pb
0.5000 0.0000 0.0000 Pb
0.5000 0.5000 0.5000 Pb

From most stable to least stable, the computed energies give 1, 2.

1.
PBE AcMg3Pb3, optimized geometry; magnetization = 0.0 μB/f.u.; symmetry = No. 176
1.0
9.5488 0.0000 0.0000
-4.7744 8.2695 0.0000
0.0000 0.0000 5.1125
Ac Mg Pb
2 6 6
direct
0.3333 0.6667 0.2500 Ac
0.6667 0.3333 0.7500 Ac
0.0387 0.2168 0.2500 Mg
0.1780 0.9613 0.2500 Mg
0.2168 0.1780 0.7500 Mg
0.7832 0.8220 0.2500 Mg
0.8220 0.0387 0.7500 Mg
0.9613 0.7832 0.7500 Mg
0.0752 0.4180 0.7500 Pb
0.3428 0.9248 0.7500 Pb
0.4180 0.3428 0.2500 Pb
0.5820 0.6572 0.7500 Pb
0.6572 0.0752 0.2500 Pb
0.9248 0.5820 0.2500 Pb

2.
PBE AcMg3Pb3, optimized geometry; magnetization = 0.0 μB/f.u.; symmetry = No. 223
1.0
7.8586 0.0000 0.0000
0.0000 7.8586 0.0000
0.0000 0.0000 7.8586
Ac Mg Pb
2 6 6
direct
0.0000 0.0000 0.0000 Ac
0.5000 0.5000 0.5000 Ac
0.0000 0.2500 0.5000 Mg
0.0000 0.7500 0.5000 Mg
0.2500 0.5000 0.0000 Mg
0.5000 0.0000 0.2500 Mg
0.5000 0.0000 0.7500 Mg
0.7500 0.5000 0.0000 Mg
0.0000 0.5000 0.2500 Pb
0.0000 0.5000 0.7500 Pb
0.2500 0.0000 0.5000 Pb
0.5000 0.2500 0.0000 Pb
0.5000 0.7500 0.0000 Pb
0.7500 0.0000 0.5000 Pb

From most stable to least stable, the computed energies give 1, 2.

1.
PBE AcMg2Pb3, optimized geometry; magnetization = 0.0 μB/f.u.; symmetry = No. 194
1.0
5.2960 0.0000 0.0000
-2.6480 4.5864 0.0000
0.0000 0.0000 14.6548
Ac Mg Pb
2 4 6
direct
0.0000 0.0000 0.2500 Ac
0.0000 0.0000 0.7500 Ac
0.3333 0.6667 0.0916 Mg
0.3333 0.6667 0.4084 Mg
0.6667 0.3333 0.5916 Mg
0.6667 0.3333 0.9084 Mg
0.0000 0.0000 0.0000 Pb
0.0000 0.0000 0.5000 Pb
0.3333 0.6667 0.6246 Pb
0.3333 0.6667 0.8754 Pb
0.6667 0.3333 0.1246 Pb
0.6667 0.3333 0.3754 Pb

2.
PBE AcMg2Pb3, optimized geometry; magnetization = 0.0 μB/f.u.; symmetry = No. 59
1.0
5.1164 0.0000 0.0000
0.0000 14.6149 0.0000
0.0000 0.0000 4.7437
Ac Mg Pb
2 4 6
direct
0.2500 0.2500 0.0020 Ac
0.7500 0.7500 0.9980 Ac
0.2500 0.5712 0.0004 Mg
0.2500 0.9288 0.0004 Mg
0.7500 0.0712 0.9996 Mg
0.7500 0.4288 0.9996 Mg
0.2500 0.0761 0.5017 Pb
0.2500 0.4240 0.5017 Pb
0.2500 0.7500 0.4983 Pb
0.7500 0.2500 0.5017 Pb
0.7500 0.5760 0.4983 Pb
0.7500 0.9240 0.4983 Pb

From most stable to least stable, the computed energies give 1, 2.